# PBE-GGA AlB2H8, optimized geometry
data_AlB2H8
_cell_length_a 7.699
_cell_length_b 5.872
_cell_length_c 4.441
_cell_angle_alpha 90.00
_cell_angle_beta 103.47
_cell_angle_gamma 90.00
_symmetry_space_group_name_H-M 'C 1 2/m 1'
_symmetry_Int_Tables_number 12
loop_
_symmetry_equiv_pos_as_xyz
'x,y,z'
'-x,-y,-z'
'-x,y,-z'
'x,-y,z'
'x+1/2,y+1/2,z'
'-x+1/2,-y+1/2,-z'
'-x+1/2,y+1/2,-z'
'x+1/2,-y+1/2,z'
loop_
_atom_site_label
_atom_site_fract_x
_atom_site_fract_y
_atom_site_fract_z
Al1 0.000 0.000 0.000
B1 0.198 0.000 0.672
H1 0.121 0.176 0.725
H2 0.145 0.500 0.200
H3 0.176 0.000 0.374
# **E**: -3.935 eV/atom
# **Polymorph energy (0 for the lowest one)**: 0.022 eV per atom
# **Density**: 1.0 g/cm3
# **DOS at the Fermi energy**: 2.94 states/eV/cell